The following is a DFT calculation (PBE) of a relaxed HfMo crystal.

Calculated values
DOS(E_F), states/eV/cell: 21.3
E_form, eV per atom: 0.16
Density, g/cm3: 11.57
Symmetry: No. 139

a = 8.0228 Å, b = 8.0228 Å, c = 4.8964 Å
α = 90.00°, β = 90.00°, γ = 90.00°
Element x y z (fractional)
Hf: 0.7990 0.5000 0.0000
Hf: 0.2010 0.5000 0.0000
Hf: 0.5000 0.2010 0.0000
Hf: 0.5000 0.7990 0.0000
Hf: 0.2990 0.0000 0.5000
Hf: 0.7010 0.0000 0.5000
Hf: 0.0000 0.7010 0.5000
Hf: 0.0000 0.2990 0.5000
Mo: 0.1586 0.1586 0.0000
Mo: 0.1586 0.8414 0.0000
Mo: 0.8414 0.1586 0.0000
Mo: 0.8414 0.8414 0.0000
Mo: 0.6586 0.6586 0.5000
Mo: 0.6586 0.3414 0.5000
Mo: 0.3414 0.6586 0.5000
Mo: 0.3414 0.3414 0.5000


The following is a DFT calculation (PBE) of a relaxed Zr2AlCl crystal.

Calculated values
Energy relative to the elements, uncorrected, eV per atom: 0.104
DOS(E_F), states/eV/cell: 5.6
Density, g/cm3: 4.61
Symmetry: No. 122

a = 4.2274 Å, b = 4.2274 Å, c = 10.3142 Å
α = 78.17°, β = 78.17°, γ = 90.00°
Element x y z (fractional)
Al: 0.5000 0.5000 0.0000
Al: 0.2500 0.7500 0.5000
Zr: 0.6230 0.1250 0.2500
Zr: 0.1270 0.6250 0.2500
Zr: 0.3750 0.3770 0.7500
Zr: 0.8750 0.8730 0.7500
Cl: 0.0000 0.0000 0.0000
Cl: 0.7500 0.2500 0.5000


The following is a DFT calculation (PBE) of a relaxed La3SiCl2 crystal.

Calculated values
Energy relative to the elements, uncorrected, eV per atom: -1.389
DOS(E_F), states/eV/cell: 7.2
Density, g/cm3: 5.20
Symmetry: No. 12

a = 7.4118 Å, b = 7.3436 Å, c = 7.4204 Å
α = 80.25°, β = 60.04°, γ = 70.18°
Element x y z (fractional)
La: 0.5811 0.2361 0.3407
La: 0.7403 0.7614 0.0000
La: 0.4189 0.7639 0.6593
La: 0.0783 0.7639 0.3407
La: 0.9217 0.2361 0.6593
La: 0.2597 0.2386 0.0000
Si: 0.3342 0.0000 0.3316
Si: 0.6658 0.0000 0.6684
Cl: 0.0000 0.0000 0.0000
Cl: 0.5000 0.5000 0.0000
Cl: 0.8290 0.5000 0.3420
Cl: 0.1710 0.5000 0.6580


The following is a DFT calculation (PBE) of a relaxed RbBaOF crystal.

Calculated values
Energy relative to the elements, uncorrected, eV per atom: -2.465
DOS(E_F), states/eV/cell: 0.0
Density, g/cm3: 4.12
Symmetry: No. 156

a = 4.1217 Å, b = 4.1218 Å, c = 7.0545 Å
α = 90.02°, β = 90.02°, γ = 60.00°
Element x y z (fractional)
Rb: 0.3578 0.3577 0.2408
Ba: 0.0242 0.0242 0.7525
O: 0.3575 0.3575 0.6199
F: 0.6911 0.6911 0.0359


The following is a DFT calculation (PBE) of a relaxed HgBiPbCl6 crystal.

Calculated values
Energy relative to the elements, uncorrected, eV per atom: -0.846
DOS(E_F), states/eV/cell: 3.7
Density, g/cm3: 4.65
Symmetry: No. 149

a = 7.2429 Å, b = 7.2439 Å, c = 6.5172 Å
α = 89.96°, β = 89.99°, γ = 60.00°
Element x y z (fractional)
Hg: 0.0000 0.0000 0.0001
Bi: 0.3332 0.3334 0.5000
Pb: 0.6667 0.6667 0.5001
Cl: 0.0188 0.3387 0.2595
Cl: 0.3382 0.0190 0.7403
Cl: 0.6429 0.3379 0.7403
Cl: 0.0191 0.6424 0.7404
Cl: 0.3382 0.6429 0.2596
Cl: 0.6426 0.0191 0.2595


The following is a DFT calculation (PBE) of a relaxed CaB4Rh12 crystal.

Calculated values
DOS(E_F), states/eV/cell: 30.3
E_form, eV per atom: -0.05
Density, g/cm3: 9.41
Symmetry: No. 204

a = 6.7094 Å, b = 6.7094 Å, c = 6.7094 Å
α = 109.47°, β = 109.47°, γ = 109.47°
Element x y z (fractional)
Ca: 0.0000 0.0000 0.0000
B: 0.0000 0.5000 0.0000
B: 0.5000 0.0000 0.0000
B: 0.5000 0.5000 0.5000
B: 0.0000 0.0000 0.5000
Rh: 0.8292 0.3222 0.1514
Rh: 0.3222 0.4930 0.1708
Rh: 0.8486 0.1708 0.6778
Rh: 0.3222 0.1514 0.8292
Rh: 0.1514 0.8292 0.3222
Rh: 0.6778 0.5070 0.8292
Rh: 0.4930 0.1708 0.3222
Rh: 0.5070 0.8292 0.6778
Rh: 0.6778 0.8486 0.1708
Rh: 0.8292 0.6778 0.5070
Rh: 0.1708 0.3222 0.4930
Rh: 0.1708 0.6778 0.8486


Number 1 is which compound?
HfMo


Which of these has the highest density?
HfMo


DOS(E_F) of number 6 (CaB4Rh12)?
30.3 states/eV/cell